Run 1
CaMgSc3 | PBE-GGA | optimized geometry

Cell and atoms, written as POSCAR:
```
CaMgSc3
1.0
5.253 0.000 0.000
0.000 5.253 0.000
0.000 0.000 5.253
Sc Ca Mg
3 1 1
direct
0.000 0.500 0.000
0.000 0.000 0.500
0.500 0.000 0.000
0.000 0.000 0.000
0.500 0.500 0.500
```

V (Å³ per cell): 144.93
SG: Pm-3m (221)
Size of the total moment (μB per cell): 0.0

=====

Run 2
CaMgSc3 | PBE-GGA | optimized geometry

Cell and atoms, written as POSCAR:
```
CaMgSc3
1.0
5.387 0.000 0.000
0.000 5.387 0.000
0.000 0.000 5.387
Sc Ca Mg
3 1 1
direct
0.000 0.500 0.000
0.000 0.000 0.500
0.500 0.000 0.000
0.500 0.500 0.500
0.000 0.000 0.000
```

V (Å³ per cell): 156.31
SG: Pm-3m (221)
Size of the total moment (μB per cell): 0.0

=====

Stability, descending: run 2, run 1

=====

Run 1
CaMgSc | PBE-GGA | optimized geometry

Cell and atoms, written as POSCAR:
```
CaMgSc
1.0
-1.493 5.255 -0.118
-3.806 -3.921 0.075
-0.009 0.071 3.256
Ca Mg Sc
1 1 1
direct
0.000 0.000 0.008
0.667 0.333 0.327
0.333 0.667 0.665
```

V (Å³ per cell): 84.21
SG: P3m1 (156)
Size of the total moment (μB per cell): 0.0

=====

Run 2
CaMgSc | PBE-GGA | optimized geometry

Cell and atoms, written as POSCAR:
```
CaMgSc
1.0
6.964 1.170 -0.463
4.432 5.500 0.462
-5.465 -3.735 2.509
Ca Mg Sc
1 1 1
direct
0.993 0.993 0.000
0.321 0.321 0.000
0.687 0.687 0.000
```

V (Å³ per cell): 85.90
SG: I4mm (107)
Size of the total moment (μB per cell): 0.4

=====

Stability, descending: run 2, run 1

=====

Run 1
CaMg6Sc | PBE-GGA | optimized geometry

Cell and atoms, written as POSCAR:
```
CaMg6Sc
1.0
5.193 0.000 0.000
0.000 5.759 -3.297
0.000 -0.024 6.634
Ca Mg Sc
1 6 1
direct
0.000 0.916 0.833
0.000 0.914 0.332
0.000 0.418 0.332
0.000 0.419 0.837
0.500 0.569 0.660
0.500 0.091 0.660
0.500 0.090 0.180
0.500 0.584 0.167
```

V (Å³ per cell): 197.98
SG: Amm2 (38)
Size of the total moment (μB per cell): 0.0

=====

Run 2
CaMg6Sc | PBE-GGA | optimized geometry

Cell and atoms, written as POSCAR:
```
CaMg6Sc
1.0
4.630 0.000 0.000
0.000 4.630 0.000
0.000 0.000 9.316
Ca Mg Sc
1 6 1
direct
0.000 0.000 0.000
0.500 0.500 0.000
0.500 0.500 0.500
0.500 0.000 0.262
0.500 0.000 0.738
0.000 0.500 0.262
0.000 0.500 0.738
0.000 0.000 0.500
```

V (Å³ per cell): 199.68
SG: P4/mmm (123)
Size of the total moment (μB per cell): 0.0

=====

Stability, descending: run 2, run 1